# SrLiSi

A geometry-optimized SrLiSi structure (PBE, Alexandria).

- E_form (uncorrected): -0.2 eV per formula unit
- Density of states at the Fermi level: 1.17 states/eV/cell
- Total DFT energy (no corrections): -3.0595 eV per atom

a b c (Å): 5.343 5.343 5.343
angles (deg): 141.69 127.85 66.53
Sites, in units of the cell vectors:
Sr  0.000  0.000  0.000
Li  0.677  0.677  0.000
Si  0.349  0.349  0.000